*i*
First-principles (PBE) data for a relaxed structure of AcLa5Pm3, as listed in Alexandria.

abc: 10.268 10.268 10.268
angles: 126.55 126.55 78.99
Sites, in units of the cell vectors:
Ac  0.250  0.750  0.500
Ac  0.750  0.250  0.500
La  0.000  0.000  0.000
La  0.076  0.576  0.915
La  0.160  0.076  0.500
La  0.340  0.840  0.915
La  0.424  0.340  0.500
La  0.500  0.500  0.000
La  0.576  0.660  0.500
La  0.660  0.160  0.085
La  0.840  0.924  0.500
La  0.924  0.424  0.085
Pm  0.114  0.386  0.500
Pm  0.250  0.250  0.000
Pm  0.386  0.886  0.272
Pm  0.614  0.114  0.728
Pm  0.750  0.750  0.000
Pm  0.886  0.614  0.500

- symmetry = I4/mcm (140)
- Fermi-level density of states (states/eV per cell) = 32.3



*ii*
First-principles (PBE) data for a relaxed structure of AcLa5Pm3, as listed in Alexandria.

abc: 7.631 7.631 11.746
angles: 90.03 90.03 73.16
Sites, in units of the cell vectors:
Ac  0.175  0.825  0.750
Ac  0.825  0.175  0.250
La  0.009  0.685  0.043
La  0.010  0.685  0.458
La  0.265  0.735  0.250
La  0.315  0.990  0.042
La  0.315  0.991  0.457
La  0.685  0.009  0.543
La  0.685  0.010  0.958
La  0.735  0.265  0.750
La  0.990  0.315  0.542
La  0.991  0.315  0.957
Pm  0.279  0.315  0.250
Pm  0.315  0.279  0.750
Pm  0.500  0.500  0.000
Pm  0.500  0.500  0.500
Pm  0.685  0.721  0.250
Pm  0.721  0.685  0.750

- symmetry = C2/c (15)
- Fermi-level density of states (states/eV per cell) = 25.7



Which one is most stable, and which one is least stable? *ii* is the most stable of them, while *i* is the least stable.



*i*
First-principles (PBE) data for a relaxed structure of AcLa3Pm4, as listed in Alexandria.

abc: 12.067 7.514 6.519
angles: 90.00 90.00 90.00
Sites, in units of the cell vectors:
Ac  0.000  0.127  0.000
Ac  0.500  0.873  0.500
La  0.000  0.869  0.496
La  0.249  0.129  0.664
La  0.251  0.871  0.164
La  0.500  0.131  0.996
La  0.749  0.871  0.164
La  0.751  0.129  0.664
Pm  0.000  0.380  0.494
Pm  0.000  0.622  0.994
Pm  0.249  0.621  0.668
Pm  0.251  0.379  0.168
Pm  0.500  0.378  0.494
Pm  0.500  0.620  0.994
Pm  0.749  0.379  0.168
Pm  0.751  0.621  0.668

- symmetry = Pmn2_1 (31)
- Fermi-level density of states (states/eV per cell) = 28.7



*ii*
First-principles (PBE) data for a relaxed structure of AcLa3Pm4, as listed in Alexandria.

abc: 10.596 7.433 7.432
angles: 90.00 90.00 90.00
Sites, in units of the cell vectors:
Ac  0.000  0.001  0.000
Ac  0.500  0.999  0.500
La  0.000  0.499  0.499
La  0.250  0.254  0.750
La  0.250  0.746  0.250
La  0.500  0.501  0.999
La  0.750  0.254  0.750
La  0.750  0.746  0.250
Pm  0.000  0.000  0.500
Pm  0.000  0.500  0.000
Pm  0.249  0.747  0.750
Pm  0.251  0.253  0.250
Pm  0.500  0.000  0.000
Pm  0.500  0.500  0.500
Pm  0.749  0.253  0.250
Pm  0.751  0.747  0.750

- symmetry = Pmn2_1 (31)
- Fermi-level density of states (states/eV per cell) = 28.0



Which one is most stable, and which one is least stable? *ii* is the most stable of them, while *i* is the least stable.